No. 1
A plane-wave DFT calculation with GGA-PBE was carried out for crystalline YLuAgGe at its relaxed geometry.

Geometry as POSCAR:
```
YLuAgGe
1.0
5.0362 0.0000 0.0000
2.5181 4.3615 0.0000
2.5181 1.4538 4.1121
Y Ge Lu Ag
1 1 1 1
Direct
0.5000 0.5000 0.5000
0.2500 0.2500 0.2500
0.0000 0.0000 0.0000
0.7500 0.7500 0.7500
```

Results
Calculated volume in Å³ per atom: 22.581
D(E_F) in states/eV/cell: 3.2
Density in g/cm3: 8.17
Total energy in eV per atom: -5.13
Magnetization in μB/cell: 0.01
Formation energy in meV/atom: -515

No. 2
A plane-wave DFT calculation with GGA-PBE was carried out for crystalline ReMo2Cl at its relaxed geometry.

Geometry as POSCAR:
```
ReMo2Cl
1.0
2.9411 0.0000 0.0000
0.0000 4.5994 0.0000
0.0000 0.0000 4.5763
Cl Mo Re
1 2 1
Direct
0.0000 0.5000 0.5000
0.0000 0.0000 0.0000
0.5000 0.5000 0.0000
0.5000 0.0000 0.5000
```

Results
Calculated volume in Å³ per atom: 15.476
D(E_F) in states/eV/cell: 3.6
Density in g/cm3: 11.09
Total energy in eV per atom: -8.10
Magnetization in μB/cell: 0.00
E_form (uncorrected) in eV/atom: 0.8881

No. 3
A plane-wave DFT calculation with GGA-PBE was carried out for crystalline NaYNb2 at its relaxed geometry.

Geometry as POSCAR:
```
NaYNb2
1.0
-3.5387 -1.7652 -0.8335
-0.1698 -1.4408 3.7721
-7.1686 7.5184 4.7140
Y Na Nb
2 2 4
Direct
0.0000 0.0000 0.0000
0.7500 0.2500 0.5000
0.5000 0.5000 0.0000
0.2500 0.7500 0.5000
0.6303 0.1250 0.2500
0.1197 0.6250 0.2500
0.3750 0.3697 0.7500
0.8750 0.8803 0.7500
```

Results
Calculated volume in Å³ per atom: 22.548
D(E_F) in states/eV/cell: 5.7
Density in g/cm3: 5.48
Total energy in eV per atom: -6.09
Magnetization in μB/cell: 0.00
Formation energy in meV/atom: 894

No. 4
A plane-wave DFT calculation with GGA-PBE was carried out for crystalline TbSm2Er at its relaxed geometry.

Geometry as POSCAR:
```
TbSm2Er
1.0
-5.2525 -1.5196 -1.6187
-0.7250 -4.3753 -3.5845
-2.2629 -4.8838 1.8831
Tb Sm Er
1 2 1
Direct
0.0000 0.0000 0.0000
0.2500 0.2500 0.2500
0.7500 0.7500 0.7500
0.5000 0.5000 0.5000
```

Results
Calculated volume in Å³ per atom: 32.780
D(E_F) in states/eV/cell: 8.7
Density in g/cm3: 7.94
Total energy in eV per atom: -4.53
Magnetization in μB/cell: 0.00
Formation energy in meV/atom: 130

No. 5
A plane-wave DFT calculation with GGA-PBE was carried out for crystalline PrSm3Zn at its relaxed geometry.

Geometry as POSCAR:
```
PrSm3Zn
1.0
-7.7664 -2.7703 -2.4271
7.0629 0.9161 -4.8124
3.5570 -3.8012 4.5193
Pr Sm Zn
2 6 2
Direct
0.8081 0.0425 0.8507
0.1919 0.9575 0.1493
0.7406 0.0835 0.3178
0.2344 0.5772 0.3178
0.7656 0.4228 0.6822
0.6880 0.4496 0.1377
0.2594 0.9165 0.6822
0.3120 0.5504 0.8623
0.7402 0.7413 0.4816
0.2598 0.2587 0.5184
```

Results
Calculated volume in Å³ per atom: 31.884
D(E_F) in states/eV/cell: 10.6
Density in g/cm3: 6.85
Total energy in eV per atom: -4.03
Magnetization in μB/cell: 0.00
Formation energy in meV/atom: 9

No. 6
A plane-wave DFT calculation with GGA-PBE was carried out for crystalline LiSmDy2Pd4 at its relaxed geometry.

Geometry as POSCAR:
```
LiSmDy2Pd4
1.0
-0.1202 4.0488 -2.7453
-4.1101 2.6397 -0.2878
0.9117 6.5241 5.2212
Li Sm Dy Pd
1 1 2 4
Direct
0.5000 0.5000 0.5000
0.0000 0.0000 0.0000
0.7586 0.7586 0.7241
0.2414 0.2414 0.2759
0.3784 0.3784 0.8649
0.8781 0.8781 0.3656
0.1219 0.1219 0.6344
0.6216 0.6216 0.1351
```

Results
Calculated volume in Å³ per atom: 20.520
D(E_F) in states/eV/cell: 4.3
Density in g/cm3: 9.18
Total energy in eV per atom: -5.34
Magnetization in μB/cell: 0.00
Formation energy in meV/atom: -759

Q: The highest calculated volume belongs to which entry?
A: TbSm2Er

Q: Which value of density does entry 4 give?
A: 7.94 g/cm3

Q: Number 4 is which compound?
A: TbSm2Er